(1)
Below is a relaxed AlHF crystal, with properties calculated at the GGA-PBE level.

Summary:
- Fermi-level density of states (states/eV per cell) = 0.0
- total energy (eV/atom) = -4.375
- polymorph energy (0 for the lowest one) (eV per atom) = 0.038
- SG = No. 1

a = 4.6512 Å, b = 4.6634 Å, c = 4.9985 Å
α = 76.67°, β = 64.43°, γ = 64.09°
Sites, in units of the cell vectors:
F 0.6839 0.5585 0.9672
F 0.2752 0.1486 0.9679
Al 0.7369 0.8976 0.7163
Al 0.0599 0.2254 0.7145
H 0.0933 0.5515 0.4890
H 0.5250 0.9809 0.4858

(2)
Below is a relaxed SbIrSeI2 crystal, with properties calculated at the GGA-PBE level.

Summary:
- formation energy (no corrections) (meV per atom) = 1494
- Fermi-level density of states (states/eV per cell) = 10.1
- total energy (eV/atom) = -2.420
- polymorph energy (0 for the lowest one) (eV per atom) = 0.904
- SG = No. 123

a = 5.3736 Å, b = 5.3736 Å, c = 5.8731 Å
α = 90.00°, β = 90.00°, γ = 90.00°
Each line ends with the local moment (μB).
Sites, in units of the cell vectors:
I 0.0000 0.5000 0.0000  0.03
I 0.5000 0.0000 0.0000  0.03
Sb 0.0000 0.0000 0.5000  -0.08
Ir 0.5000 0.5000 0.5000  1.71
Se 0.0000 0.0000 0.0000  -0.02

(3)
Below is a relaxed Mo2RuBr crystal, with properties calculated at the GGA-PBE level.

Summary:
- formation energy (no corrections) (meV per atom) = 487
- Fermi-level density of states (states/eV per cell) = 3.9
- total energy (eV/atom) = -7.666
- polymorph energy (0 for the lowest one) (eV per atom) = 0.076
- SG = No. 123

a = 2.9889 Å, b = 2.9889 Å, c = 6.9953 Å
α = 90.00°, β = 90.00°, γ = 90.00°
Sites, in units of the cell vectors:
Mo 0.0000 0.0000 0.4966
Mo 0.0000 0.0000 0.0034
Ru 0.5000 0.5000 0.2500
Br 0.5000 0.5000 0.7500

(4)
Below is a relaxed K3TmPu2Te6 crystal, with properties calculated at the GGA-PBE level.

Summary:
- formation energy (no corrections) (meV per atom) = -1192
- Fermi-level density of states (states/eV per cell) = 26.5
- total energy (eV/atom) = -5.798
- SG = No. 12

a = 7.8507 Å, b = 7.8507 Å, c = 8.6138 Å
α = 98.74°, β = 98.74°, γ = 120.00°
Each line ends with the local moment (μB).
Sites, in units of the cell vectors:
Te 0.7420 0.7420 0.2084  -0.08
Te 0.6031 0.9306 0.7919  -0.07
Te 0.0694 0.3969 0.2081  -0.07
Te 0.3969 0.0694 0.2081  -0.07
Te 0.2580 0.2580 0.7916  -0.08
Te 0.9306 0.6031 0.7919  -0.07
Tm 0.0000 0.0000 0.0000  0.01
Pu 0.3334 0.6666 0.0000  5.21
Pu 0.6666 0.3334 0.0000  5.21
K 0.5000 0.5000 0.5000  0.00
K 0.8318 0.1682 0.5000  0.00
K 0.1682 0.8318 0.5000  0.00